The following is a GGA-PBE calculation of a relaxed BeNbCrSi2 crystal, from Alexandria.

Cell: 4.775 4.775 4.505 Å, 90.00 90.00 90.00°
Space group P4/mmm (No. 123)
Symmetry-distinct sites (fractional):
Be 0.000 0.000 0.000
Nb 0.000 0.000 0.500
Cr 0.500 0.500 0.000
Si 0.000 0.500 0.500

Calculated values
The total moment is 4.0 μB per formula unit. As for the total energy: -28.90 eV per cell. The density of states at the Fermi level comes out at 4.242 states/eV/cell. The calculation puts the formation energy without anion corrections at 1074 meV per atom.

=====

The following is a GGA-PBE calculation of a relaxed YBeNb2Cr crystal, from Alexandria.

Cell: 4.841 4.841 4.453 Å, 90.00 90.00 90.00°
Space group P4/mmm (No. 123)
Symmetry-distinct sites (fractional):
Y 0.000 0.000 0.000
Be 0.000 0.000 0.500
Nb 0.000 0.500 0.000
Cr 0.500 0.500 0.500

Calculated values
The total moment is 0.1 μB per formula unit. For the formation energy, the calculation gives 2.4630 eV/atom. As for the total energy: -27.64 eV per cell. The density of states at the Fermi level comes out at 8.045 states/eV/cell.

=====

- Which of these has the highest total moment?
  BeNbCrSi2